Entry 1:
DFT (PBE) results for an optimized crystal structure of Pm3NdTh2.

POSCAR file:
```
Pm3NdTh2
1.0
7.447 -1.752 0.243
0.172 7.649 0.243
-2.264 -1.752 7.099
Pm Th Nd
6 4 2
direct
0.335 0.835 0.835
0.165 0.165 0.665
0.835 0.335 0.835
0.835 0.835 0.335
0.665 0.165 0.165
0.165 0.665 0.165
0.500 0.000 0.500
0.500 0.500 0.000
0.000 0.000 0.000
0.000 0.500 0.500
0.335 0.335 0.335
0.665 0.665 0.665
```

Computed properties:
- DFT formation energy: 451 meV/atom
- SG: No. 166
- DFT total energy: -5.1923 eV per atom
- N(E_F): 27.9 states/eV per cell

Entry 2:
DFT (PBE) results for an optimized crystal structure of SrMn2Cr.

POSCAR file:
```
SrMn2Cr
1.0
3.251 0.000 0.000
0.000 3.483 0.000
0.000 0.000 7.239
Mn Cr Sr
2 1 1
direct
0.000 0.000 0.976
0.500 0.500 0.175
0.500 0.500 0.849
0.000 0.000 0.500
```

Computed properties:
- DFT formation energy: 633 meV/atom
- SG: No. 25
- DFT total energy: -6.7783 eV per atom
- Energy relative to the lowest polymorph listed for this composition: 0.199 eV per atom
- N(E_F): 3.9 states/eV per cell

Entry 3:
DFT (PBE) results for an optimized crystal structure of Tb2DyYHo5.

POSCAR file:
```
Tb2DyYHo5
1.0
8.709 0.000 0.000
0.000 8.709 0.000
-4.355 -4.355 7.559
Ho Tb Y Dy
10 4 2 2
direct
0.343 0.843 0.272
0.000 0.000 0.000
0.071 0.571 0.728
0.571 0.657 0.728
0.429 0.343 0.272
0.657 0.157 0.728
0.843 0.929 0.272
0.500 0.500 0.000
0.157 0.071 0.728
0.929 0.429 0.272
0.884 0.616 0.000
0.616 0.116 0.000
0.116 0.384 0.000
0.384 0.884 0.000
0.250 0.250 0.500
0.750 0.750 0.500
0.250 0.750 0.500
0.750 0.250 0.500
```

Computed properties:
- DFT formation energy: 294 meV/atom
- SG: No. 140
- DFT total energy: -4.5078 eV per atom
- N(E_F): 24.1 states/eV per cell

Entry 4:
DFT (PBE) results for an optimized crystal structure of La5PrNd2.

POSCAR file:
```
La5PrNd2
1.0
5.918 0.000 0.000
-2.959 8.579 0.000
0.000 0.000 11.776
Nd La Pr
4 10 2
direct
0.213 0.427 0.584
0.787 0.573 0.416
0.787 0.573 0.084
0.213 0.427 0.916
0.955 0.909 0.885
0.414 0.828 0.413
0.586 0.172 0.587
0.391 0.783 0.750
0.609 0.217 0.250
0.045 0.091 0.115
0.414 0.828 0.087
0.586 0.172 0.913
0.955 0.909 0.615
0.045 0.091 0.385
0.229 0.458 0.250
0.771 0.542 0.750
```

Computed properties:
- DFT formation energy: 116 meV/atom
- SG: No. 63
- DFT total energy: -4.7531 eV per atom
- N(E_F): 26.0 states/eV per cell

Entry 5:
DFT (PBE) results for an optimized crystal structure of La2SmHoSe5.

POSCAR file:
```
La2SmHoSe5
1.0
5.118 0.000 0.000
0.000 5.118 0.000
0.000 0.000 10.895
Se Sm Ho La
5 1 1 2
direct
0.000 0.000 0.752
0.000 0.000 0.248
0.500 0.000 0.500
0.000 0.500 0.500
0.500 0.500 0.000
0.000 0.000 0.000
0.000 0.000 0.500
0.500 0.500 0.310
0.500 0.500 0.690
```

Computed properties:
- SG: No. 123
- Energy relative to the elements, uncorrected: -1.44 eV per atom
- DFT total energy: -5.5031 eV per atom
- N(E_F): 6.6 states/eV per cell

Entry 6:
DFT (PBE) results for an optimized crystal structure of LiCaBCl.

POSCAR file:
```
LiCaBCl
1.0
7.087 0.000 -0.156
0.000 3.569 0.000
-1.263 0.000 6.339
Cl B Li Ca
2 2 2 2
direct
0.484 0.500 0.824
0.484 0.000 0.324
0.003 0.500 0.948
0.003 0.000 0.448
0.199 0.500 0.318
0.199 0.000 0.818
0.763 0.500 0.563
0.763 0.000 0.063
```

Computed properties:
- SG: No. 8
- Energy relative to the elements, uncorrected: -0.24 eV per atom
- DFT total energy: -3.3547 eV per atom
- Energy relative to the lowest polymorph listed for this composition: 0.016 eV per atom
- N(E_F): 2.8 states/eV per cell

Entry 7:
DFT (PBE) results for an optimized crystal structure of Tl5P.

POSCAR file:
```
Tl5P
1.0
-4.425 -2.962 3.402
-2.114 -1.102 5.852
-5.733 5.275 1.402
Tl P
5 1
direct
0.336 0.336 0.918
0.634 0.634 0.763
0.609 0.609 0.193
0.311 0.311 0.348
0.972 0.972 0.556
0.973 0.973 0.055
```

Computed properties:
- DFT formation energy: 98 meV/atom
- SG: No. 8
- DFT total energy: -2.7751 eV per atom
- Energy relative to the lowest polymorph listed for this composition: 0.000 eV per atom
- N(E_F): 2.5 states/eV per cell

Entry 8:
DFT (PBE) results for an optimized crystal structure of VTeH.

POSCAR file:
```
VTeH
1.0
4.241 0.004 -0.001
0.362 7.810 -0.022
0.000 0.806 3.331
H Te V
2 2 2
direct
0.193 0.039 0.158
0.492 0.830 0.769
0.626 0.191 0.578
0.059 0.678 0.349
0.573 0.919 0.222
0.112 0.951 0.705
```

Computed properties:
- SG: No. 2
- DFT total energy: -5.4473 eV per atom
- N(E_F): 1.1 states/eV per cell

Entry 9:
DFT (PBE) results for an optimized crystal structure of TlRuPt2.

POSCAR file:
```
TlRuPt2
1.0
0.020 0.087 4.985
4.412 -1.502 -1.772
0.913 2.742 -0.051
Ru Pt Tl
1 2 1
direct
0.500 0.000 0.500
0.500 0.500 0.000
0.000 0.000 0.000
0.000 0.500 0.500
```

Computed properties:
- DFT formation energy: 238 meV/atom
- SG: No. 65
- DFT total energy: -5.6929 eV per atom
- Energy relative to the lowest polymorph listed for this composition: 0.016 eV per atom
- N(E_F): 4.1 states/eV per cell

Entry 10:
DFT (PBE) results for an optimized crystal structure of LiCe2ScSe4.

POSCAR file:
```
LiCe2ScSe4
1.0
-0.069 2.796 2.951
-6.446 -2.054 1.796
0.416 -5.107 4.848
Se Ce Sc Li
4 2 1 1
direct
0.000 0.274 0.244
0.000 0.726 0.756
0.500 0.276 0.742
0.500 0.724 0.258
0.000 0.000 0.000
0.500 0.000 0.500
0.000 0.500 0.500
0.500 0.500 0.000
```

Computed properties:
- SG: No. 10
- Energy relative to the elements, uncorrected: -1.66 eV per atom
- DFT total energy: -5.9194 eV per atom
- N(E_F): 12.8 states/eV per cell

Entry 11:
DFT (PBE) results for an optimized crystal structure of Sm2SnAu.

POSCAR file:
```
Sm2SnAu
1.0
3.635 0.000 0.000
0.000 3.635 0.000
0.000 0.000 7.960
Sm Sn Au
2 1 1
direct
0.000 0.000 0.235
0.000 0.000 0.765
0.500 0.500 0.500
0.500 0.500 0.000
```

Computed properties:
- DFT formation energy: -727 meV/atom
- SG: No. 123
- DFT total energy: -4.9066 eV per atom
- N(E_F): 2.9 states/eV per cell

Entry 12:
DFT (PBE) results for an optimized crystal structure of Ho14TmTl.

POSCAR file:
```
Ho14TmTl
1.0
6.858 0.076 0.000
-1.840 6.607 0.000
0.000 0.000 10.769
Ho Tl Tm
14 1 1
direct
0.414 0.168 0.256
0.414 0.168 0.744
0.045 0.356 0.000
0.832 0.586 0.256
0.906 0.094 0.722
0.563 0.437 0.000
0.906 0.094 0.278
0.644 0.955 0.000
0.342 0.658 0.774
0.614 0.797 0.500
0.116 0.884 0.000
0.342 0.658 0.226
0.203 0.386 0.500
0.832 0.586 0.744
0.690 0.310 0.500
0.137 0.863 0.500
```

Computed properties:
- DFT formation energy: -1 meV/atom
- SG: No. 38
- DFT total energy: -4.4337 eV per atom
- N(E_F): 22.7 states/eV per cell

Entry 13:
DFT (PBE) results for an optimized crystal structure of K2HgPdO4.

POSCAR file:
```
K2HgPdO4
1.0
-0.654 -0.068 3.247
-1.103 -6.194 -0.351
6.096 1.365 1.257
Hg O Pd K
1 4 1 2
direct
0.000 0.000 0.000
0.000 0.685 0.189
0.000 0.315 0.811
0.500 0.724 0.834
0.500 0.276 0.166
0.500 0.500 0.000
0.000 0.500 0.500
0.500 0.000 0.500
```

Computed properties:
- SG: No. 10
- Energy relative to the elements, uncorrected: -0.75 eV per atom
- DFT total energy: -4.1950 eV per atom
- N(E_F): 1.8 states/eV per cell

Entry 14:
DFT (PBE) results for an optimized crystal structure of BaSeBr3.

POSCAR file:
```
BaSeBr3
1.0
-2.848 4.808 -0.422
-2.950 -1.346 4.571
3.820 2.545 3.215
Br Se Ba
3 1 1
direct
0.500 0.000 0.000
0.000 0.000 0.500
0.000 0.500 0.000
0.000 0.000 0.000
0.500 0.500 0.500
```

Computed properties:
- SG: No. 221
- Energy relative to the elements, uncorrected: -0.86 eV per atom
- DFT total energy: -2.9435 eV per atom
- Energy relative to the lowest polymorph listed for this composition: 0.000 eV per atom
- N(E_F): 1.2 states/eV per cell

Entry 15:
DFT (PBE) results for an optimized crystal structure of NpBiRu.

POSCAR file:
```
NpBiRu
1.0
-1.557 2.054 -2.037
-3.358 -3.214 -0.674
-4.051 2.499 8.268
Np Bi Ru
2 2 2
direct
0.930 0.750 0.860
0.070 0.250 0.140
0.192 0.750 0.383
0.808 0.250 0.617
0.558 0.750 0.117
0.442 0.250 0.883
```

Computed properties:
- DFT formation energy: 106 meV/atom
- SG: No. 63
- DFT total energy: -8.5935 eV per atom
- N(E_F): 11.4 states/eV per cell

Entry 16:
DFT (PBE) results for an optimized crystal structure of Pm2Pr4H2Pb3.

POSCAR file:
```
Pm2Pr4H2Pb3
1.0
-1.475 -4.189 1.951
4.578 -1.048 1.212
-3.252 8.631 10.043
Pb Pr H Pm
3 4 2 2
direct
0.823 0.823 0.646
0.177 0.177 0.354
0.000 0.000 0.000
0.584 0.084 0.168
0.084 0.584 0.168
0.416 0.916 0.832
0.916 0.416 0.832
0.606 0.606 0.213
0.394 0.394 0.787
0.300 0.300 0.601
0.700 0.700 0.399
```

Computed properties:
- SG: No. 139
- DFT total energy: -4.6560 eV per atom
- N(E_F): 11.0 states/eV per cell

Entry 17:
DFT (PBE) results for an optimized crystal structure of SmHoAsS.

POSCAR file:
```
SmHoAsS
1.0
3.986 -0.001 0.000
-1.993 3.452 0.000
-1.991 -1.150 7.018
S As Sm Ho
1 1 1 1
direct
0.478 0.137 0.630
0.128 0.962 0.105
0.963 0.379 0.357
0.309 0.553 0.877
```

Computed properties:
- SG: No. 160
- Energy relative to the elements, uncorrected: -1.69 eV per atom
- DFT total energy: -6.2060 eV per atom
- N(E_F): 2.7 states/eV per cell

Entry 18:
DFT (PBE) results for an optimized crystal structure of Ce3IrRh.

POSCAR file:
```
Ce3IrRh
1.0
-1.733 5.455 -5.519
-6.368 -3.472 -1.432
-4.345 6.186 4.321
Ce Ir Rh
12 4 4
direct
0.387 0.156 0.799
0.275 0.505 0.556
0.992 0.183 0.143
0.113 0.656 0.201
0.613 0.844 0.201
0.008 0.817 0.857
0.775 0.995 0.556
0.725 0.495 0.444
0.508 0.683 0.857
0.225 0.005 0.444
0.492 0.317 0.143
0.887 0.344 0.799
0.306 0.964 0.091
0.694 0.036 0.909
0.806 0.536 0.091
0.194 0.464 0.909
0.978 0.696 0.555
0.022 0.304 0.445
0.521 0.196 0.445
0.479 0.804 0.555
```

Computed properties:
- DFT formation energy: -614 meV/atom
- SG: No. 14
- DFT total energy: -7.4167 eV per atom
- Energy relative to the lowest polymorph listed for this composition: 0.000 eV per atom
- N(E_F): 53.1 states/eV per cell

Entry 19:
DFT (PBE) results for an optimized crystal structure of AcFeCoB2.

POSCAR file:
```
AcFeCoB2
1.0
3.711 0.000 0.000
0.000 3.711 0.000
-1.856 -1.856 5.201
B Fe Co Ac
2 1 1 1
direct
0.320 0.320 0.641
0.680 0.680 0.359
0.750 0.250 0.500
0.250 0.750 0.500
0.000 0.000 0.000
```

Computed properties:
- DFT formation energy: -353 meV/atom
- SG: No. 119
- DFT total energy: -6.9598 eV per atom
- N(E_F): 2.1 states/eV per cell

Entry 20:
DFT (PBE) results for an optimized crystal structure of NdHoCd.

POSCAR file:
```
NdHoCd
1.0
-4.067 3.212 -0.553
-4.657 -1.336 1.925
-1.926 2.504 4.147
Ho Cd Nd
1 1 1
direct
0.250 0.250 0.250
0.000 0.000 0.000
0.750 0.750 0.750
```

Computed properties:
- DFT formation energy: 95 meV/atom
- SG: No. 216
- DFT total energy: -3.3256 eV per atom
- Energy relative to the lowest polymorph listed for this composition: 0.311 eV per atom
- N(E_F): 5.1 states/eV per cell

Entry 21:
DFT (PBE) results for an optimized crystal structure of Al2RhSe.

POSCAR file:
```
Al2RhSe
1.0
-1.044 -5.880 -0.575
5.754 -1.144 1.255
1.247 -3.788 5.171
Se Rh Al
2 2 4
direct
0.500 0.500 0.000
0.250 0.750 0.500
0.000 0.000 0.000
0.750 0.250 0.500
0.875 0.896 0.750
0.104 0.625 0.250
0.375 0.354 0.750
0.646 0.125 0.250
```

Computed properties:
- SG: No. 122
- Energy relative to the elements, uncorrected: -0.23 eV per atom
- DFT total energy: -4.8093 eV per atom
- N(E_F): 5.7 states/eV per cell

Entry 22:
DFT (PBE) results for an optimized crystal structure of YIr2Au.

POSCAR file:
```
YIr2Au
1.0
5.125 -0.004 0.017
4.167 2.983 0.017
1.112 0.356 4.741
Ir Au Y
2 1 1
direct
0.006 0.006 0.963
0.736 0.736 0.795
0.259 0.259 0.252
0.498 0.498 0.489
```

Computed properties:
- DFT formation energy: -171 meV/atom
- SG: No. 8
- DFT total energy: -7.0368 eV per atom
- Energy relative to the lowest polymorph listed for this composition: 0.207 eV per atom
- N(E_F): 3.3 states/eV per cell

Entry 23:
DFT (PBE) results for an optimized crystal structure of KBaTlBi.

POSCAR file:
```
KBaTlBi
1.0
6.049 0.000 0.000
3.025 5.239 0.000
3.025 1.746 4.939
Ba Bi K Tl
1 1 1 1
direct
0.500 0.500 0.500
0.750 0.750 0.750
0.000 0.000 0.000
0.250 0.250 0.250
```

Computed properties:
- DFT formation energy: -415 meV/atom
- SG: No. 216
- DFT total energy: -2.7322 eV per atom
- N(E_F): 2.9 states/eV per cell